(1)
AcGa2Pt5, optimized geometry, DFT PBE; magnetic moment = 0.00 μB per atom; N(E_F) = 3.815 states/eV/f.u.; space group = Immm; calculated formation energy = -0.79 eV per atom; E_tot = -5.83 eV/atom
1.0
-1.332 -3.436 1.664
5.152 -3.941 0.899
2.039 -0.158 6.220
Pt Ga Ac
5 2 1
Cartesian
2.310 -4.412 2.564 Pt
3.596 -2.049 3.560 Pt
3.549 -3.123 6.219 Pt
4.767 -4.603 4.137 Pt
1.093 -2.932 4.647 Pt
1.519 -1.888 2.231 Ga
4.340 -5.647 6.553 Ga
0.000 0.000 0.000 Ac



(2)
CeTlC2O6, optimized geometry, DFT PBE; magnetic moment = 0.10 μB per atom; N(E_F) = 7.350 states/eV/f.u.; raw formation energy = -1.88 eV per atom; space group = C2/c; E_tot = -7.53 eV/atom
1.0
-4.290 4.519 -2.434
-4.437 -3.102 3.930
4.180 3.824 4.677
O Ce C Tl
12 2 4 2
Cartesian
0.159 4.868 4.048 O
-1.669 3.627 -0.033 O
-2.582 4.043 2.996 O
-4.706 0.374 2.125 O
-2.878 1.614 6.206 O
-3.005 4.603 5.107 O
-4.885 3.971 0.304 O
-5.101 2.360 3.045 O
-1.542 0.638 1.065 O
0.338 1.271 5.869 O
0.555 2.882 3.128 O
-1.965 1.199 3.176 O
-3.304 2.443 1.267 Ce
-1.243 2.799 4.905 Ce
0.786 4.159 3.131 C
-1.340 0.409 2.327 C
-3.207 4.833 3.845 C
-5.333 1.082 3.042 C
-3.375 -1.261 4.360 Tl
-1.172 6.502 1.813 Tl



(3)
K2SrHgBr6, optimized geometry, DFT PBE; magnetic moment = 0.00 μB per atom; N(E_F) = 0.000 states/eV/f.u.; raw formation energy = -1.43 eV per atom; space group = R3; E_tot = -2.86 eV/atom
1.0
7.994 0.001 0.003
3.998 6.920 0.001
3.999 2.308 6.686
Sr Hg Br K
1 1 6 2
Cartesian
11.993 6.922 3.676 Sr
3.998 2.307 0.316 Hg
6.395 1.850 1.767 Br
8.822 2.482 5.197 Br
5.735 4.966 5.195 Br
11.192 4.612 1.768 Br
9.431 6.396 5.196 Br
6.401 7.382 1.766 Br
7.997 4.614 2.670 K
3.999 2.309 5.998 K



(4)
V6Mo5Ru, optimized geometry, DFT PBE; magnetic moment = 0.00 μB per atom; N(E_F) = 6.740 states/eV/f.u.; space group = C2/m; calculated formation energy = -0.20 eV per atom; E_tot = -10.04 eV/atom
1.0
-0.637 4.276 -0.108
-1.226 -0.333 -5.985
-5.379 -2.869 4.390
V Mo Ru
6 5 1
Cartesian
-2.404 -0.382 -1.050 V
-3.017 -0.549 -4.043 V
-4.838 1.455 -0.654 V
-4.225 1.622 2.339 V
-6.005 -0.815 2.837 V
-1.237 1.888 -4.540 V
-0.613 -0.167 -2.993 Mo
-3.038 1.671 -2.598 Mo
-4.204 -0.598 0.895 Mo
-2.403 1.840 0.390 Mo
-4.839 -0.767 -2.093 Mo
0.000 0.000 0.000 Ru